# 1
# Ba4PrErCu6O14, optimized geometry, DFT PBE
# Mass density ... 6734 kg/m³
# Uncorrected formation energy ... -46.52 eV/f.u.
# Calculated volume ... 361 Å³/cell
# M_tot ... 0.00 Bohr magnetons per cell
# DOS at the Fermi energy ... 0.37 states/eV/atom
data_Ba4PrErCu6O14
_chemical_formula_sum 'Ba4 Pr1 Er1 Cu6 O14'
_cell_length_a 3.8609
_cell_length_b 3.9325
_cell_length_c 23.7577
_cell_angle_alpha 90.00
_cell_angle_beta 90.00
_cell_angle_gamma 90.00
_space_group_name_H-M_alt 'P m m m'
_space_group_IT_number 47
loop_
_space_group_symop_operation_xyz
'x,y,z'
'-x,-y,-z'
'-x,-y,z'
'x,y,-z'
'x,-y,-z'
'-x,y,z'
'-x,y,-z'
'x,-y,z'
loop_
_atom_site_label
_atom_site_type_symbol
_atom_site_fract_x
_atom_site_fract_y
_atom_site_fract_z
Ba1 Ba 0.0000 0.0000 0.1578
Ba2 Ba 0.0000 0.0000 0.3375
Pr1 Pr 0.0000 0.0000 0.5000
Er1 Er 0.0000 0.0000 0.0000
Cu1 Cu 0.5000 0.5000 0.0720
Cu2 Cu 0.5000 0.5000 0.2474
Cu3 Cu 0.5000 0.5000 0.4218
O1 O 0.0000 0.5000 0.0586
O2 O 0.0000 0.5000 0.4350
O3 O 0.5000 0.0000 0.0591
O4 O 0.5000 0.0000 0.2472
O5 O 0.5000 0.0000 0.4342
O6 O 0.5000 0.5000 0.1684
O7 O 0.5000 0.5000 0.3264



# 2
# Sr2CdHgH, optimized geometry, DFT PBE
# Mass density ... 6262 kg/m³
# Energy relative to the lowest polymorph listed for this composition ... 37 meV per atom
# Calculated volume ... 130 Å³/cell
# M_tot ... 0.00 Bohr magnetons per cell
# DOS at the Fermi energy ... 0.24 states/eV/atom
data_Sr2CdHgH
_chemical_formula_sum 'Sr2 Cd1 Hg1 H1'
_cell_length_a 5.3291
_cell_length_b 5.3291
_cell_length_c 4.5684
_cell_angle_alpha 90.00
_cell_angle_beta 90.00
_cell_angle_gamma 90.00
_space_group_name_H-M_alt 'P 4/m m m'
_space_group_IT_number 123
_space_group_name_Hall '-P 4 2'
loop_
_atom_site_label
_atom_site_type_symbol
_atom_site_fract_x
_atom_site_fract_y
_atom_site_fract_z
Sr1 Sr 0.0000 0.5000 0.0000
Cd1 Cd 0.0000 0.0000 0.5000
Hg1 Hg 0.5000 0.5000 0.5000
H1 H 0.5000 0.5000 0.0000